[1]
Density functional theory data (PBE) for an optimized crystal structure of CoReIr2.

abc: 5.424 5.424 10.759
angles: 90.00 90.00 90.00
Space group I-42d (No. 122)
Inequivalent atoms, fractional coordinates:
Co 0.000 0.000 0.000 [4 per cell]
Re 0.000 0.000 0.500 [4 per cell]
Ir 0.231 0.250 0.125 [8 per cell]

Results
VASP energy, eV/f.u.: -33.47
Energy of formation from the pure elements, eV per atom: 0.95
Offset from the most stable computed form, meV/atom: 1048.7

---

[2]
Density functional theory data (PBE) for an optimized crystal structure of CoRe2Ir.

abc: 2.838 4.537 8.915
angles: 90.00 90.00 90.00
Space group Cmm2 (No. 35)
Inequivalent atoms, fractional coordinates:
Co 0.000 0.000 0.000 [2 per cell]
Re 0.000 0.000 0.495 [2 per cell]
Re 0.000 0.500 0.239 [2 per cell]
Ir 0.000 0.500 0.755 [2 per cell]

Results
VASP energy, eV/f.u.: -39.57
Energy of formation from the pure elements, eV per atom: 0.32
Offset from the most stable computed form, meV/atom: 478.2

---

[3]
Density functional theory data (PBE) for an optimized crystal structure of CoReIr2.

abc: 2.7217 2.7217 26.0932
angles: 90.00 90.00 120.00
Space group R3m (No. 160, hexagonal axes)
Inequivalent atoms, fractional coordinates:
Co 0.0000 0.0000 0.0000 [3 per cell]
Re 0.0000 0.0000 0.2521 [3 per cell]
Ir 0.0000 0.0000 0.5015 [3 per cell]
Ir 0.0000 0.0000 0.7465 [3 per cell]

Results
VASP energy, eV/f.u.: -37.09
Energy of formation from the pure elements, eV per atom: 0.05
Offset from the most stable computed form, meV/atom: 142.7